# Hf6GaTc | Alexandria via LeMat-Bulk | PBE-GGA | relaxed
data_Hf6GaTc
_cell_length_a 6.031
_cell_length_b 6.044
_cell_length_c 6.857
_cell_angle_alpha 115.98
_cell_angle_beta 90.14
_cell_angle_gamma 119.85
_space_group_name_H-M_alt 'P -1'
_space_group_IT_number 2
loop_
_space_group_symop_operation_xyz
'x,y,z'
'-x,-y,-z'
loop_
_atom_site_label
_atom_site_type_symbol
_atom_site_fract_x
_atom_site_fract_y
_atom_site_fract_z
_atom_site_occupancy
Hf1 Hf 0.045 0.487 0.238 1
Hf2 Hf 0.249 0.206 0.762 1
Hf3 Hf 0.446 0.196 0.238 1
Ga1 Ga 0.500 0.000 0.500 1
Tc1 Tc 0.000 0.000 0.000 1
# calculated formation energy	0.308	eV per atom

=====

# La6Bi2C | Alexandria via LeMat-Bulk | PBE-GGA | relaxed
data_La6Bi2C
_cell_length_a 7.214
_cell_length_b 7.214
_cell_length_c 13.169
_cell_angle_alpha 90.00
_cell_angle_beta 90.00
_cell_angle_gamma 90.00
_space_group_name_H-M_alt 'P 42/m n m'
_space_group_IT_number 136
_space_group_name_Hall '-P 4n 2n'
loop_
_atom_site_label
_atom_site_type_symbol
_atom_site_fract_x
_atom_site_fract_y
_atom_site_fract_z
_atom_site_occupancy
La1 La 0.187 0.187 0.136 1
La2 La 0.242 0.242 0.500 1
Bi1 Bi 0.000 0.000 0.334 1
C1 C 0.000 0.000 0.000 1
# calculated formation energy	-0.267	eV per atom
# energy above the lowest structure with this stoichiometry	1.97	eV/f.u.

=====

# Sr2CuBr | Alexandria via LeMat-Bulk | PBE-GGA | relaxed
data_Sr2CuBr
_cell_length_a 4.3599
_cell_length_b 4.3599
_cell_length_c 24.5421
_cell_angle_alpha 90.00
_cell_angle_beta 90.00
_cell_angle_gamma 120.00
_space_group_name_H-M_alt 'R 3 m'
_space_group_IT_number 160
_space_group_name_Hall 'R 3 -2"'
loop_
_atom_site_label
_atom_site_type_symbol
_atom_site_fract_x
_atom_site_fract_y
_atom_site_fract_z
_atom_site_occupancy
Sr1 Sr 0.0000 0.0000 0.0000 1
Sr2 Sr 0.0000 0.0000 0.1917 1
Cu1 Cu 0.0000 0.0000 0.5969 1
Br1 Br 0.0000 0.0000 0.4256 1
# ΔE_f (raw)	-72.8	kJ per mole of atoms
# energy above the lowest structure with this stoichiometry	0.04	eV/f.u.